# 1
DFT (PBE-GGA) results for a geometry-optimized Sc2P2F structure.

Cell: 3.445 3.445 14.438 Å, 90.00 90.00 90.00°
Space group I4/mmm (No. 139)
Unique sites:
Sc: 0.000 0.000 0.114 [4 per cell]
P: 0.000 0.500 0.250 [4 per cell]
F: 0.000 0.000 0.500 [2 per cell]

## Properties
Final energy (eV per atom): -6.114
Energy above the most stable polymorph in this dataset (kJ/mol of formula units): 349
Uncorrected formation energy (eV per atom): -1.0430
Crystal system: tetragonal

=====

# 2
DFT (PBE-GGA) results for a geometry-optimized Sc2PF structure.

Cell: 3.9755 3.9755 19.3305 Å, 90.00 90.00 120.00°
Space group R-3m (No. 166, hexagonal axes)
Unique sites:
Sc: 0.0000 0.0000 0.1063 [6 per cell]
P: 0.0000 0.0000 0.5000 [3 per cell]
F: 0.0000 0.0000 0.0000 [3 per cell]

## Properties
Final energy (eV per atom): -6.950
Energy above the most stable polymorph in this dataset (kJ/mol of formula units): 0
Uncorrected formation energy (eV per atom): -1.9641
Crystal system: trigonal

=====

# 3
DFT (PBE-GGA) results for a geometry-optimized Sc2PF structure.

Cell: 3.0915 3.0915 25.6147 Å, 90.00 90.00 120.00°
Space group R-3m (No. 166, hexagonal axes)
Unique sites:
Sc: 0.0000 0.0000 0.0987 [6 per cell]
P: 0.0000 0.0000 0.0000 [3 per cell]
F: 0.0000 0.0000 0.5000 [3 per cell]

## Properties
Final energy (eV per atom): -5.911
Energy above the most stable polymorph in this dataset (kJ/mol of formula units): 401
Uncorrected formation energy (eV per atom): -0.9246
Crystal system: trigonal

=====

# 4
DFT (PBE-GGA) results for a geometry-optimized ScPF3 structure.

Cell: 4.313 4.313 4.313 Å, 90.00 90.00 90.00°
Space group Pm-3m (No. 221)
Unique sites:
Sc: 0.000 0.000 0.000 [1 per cell]
P: 0.500 0.500 0.500 [1 per cell]
F: 0.000 0.500 0.500 [3 per cell]

## Properties
Final energy (eV per atom): -4.478
Energy above the most stable polymorph in this dataset (kJ/mol of formula units): 603
Uncorrected formation energy (eV per atom): -1.0065
Crystal system: cubic

=====

# 5
DFT (PBE-GGA) results for a geometry-optimized Sr2ScPF structure.

Cell: 6.036 6.036 4.864 Å, 90.00 90.00 90.00°
Space group P4/mmm (No. 123)
Unique sites:
Sr: 0.000 0.500 0.000 [2 per cell]
Sc: 0.000 0.000 0.500 [1 per cell]
P: 0.000 0.000 0.000 [1 per cell]
F: 0.500 0.500 0.500 [1 per cell]

## Properties
Final energy (eV per atom): -4.251
Uncorrected formation energy (eV per atom): -0.8557
Crystal system: tetragonal

=====

# 6
DFT (PBE-GGA) results for a geometry-optimized P2Se2F structure.

Cell: 4.973 4.973 7.066 Å, 90.00 90.00 90.00°
Space group I4/mmm (No. 139)
Unique sites:
P: 0.000 0.000 0.166 [4 per cell]
Se: 0.000 0.500 0.250 [4 per cell]
F: 0.000 0.000 0.500 [2 per cell]

## Properties
Final energy (eV per atom): -4.099
Energy above the most stable polymorph in this dataset (kJ/mol of formula units): 0
Uncorrected formation energy (eV per atom): -0.1666
Crystal system: tetragonal

=====

# 7
DFT (PBE-GGA) results for a geometry-optimized P2Se2F structure.

Cell: 7.492 7.492 3.434 Å, 90.00 90.00 90.00°
Space group P4/mbm (No. 127)
Unique sites:
P: 0.201 0.299 0.000 [4 per cell]
Se: 0.157 0.657 0.500 [4 per cell]
F: 0.000 0.000 0.000 [2 per cell]

## Properties
Final energy (eV per atom): -3.988
Energy above the most stable polymorph in this dataset (kJ/mol of formula units): 53
Uncorrected formation energy (eV per atom): -0.0561
Crystal system: tetragonal

=====

# 8
DFT (PBE-GGA) results for a geometry-optimized P3SeF structure.

Cell: 4.427 4.427 4.427 Å, 90.00 90.00 90.00°
Space group Pm-3m (No. 221)
Unique sites:
P: 0.000 0.000 0.500 [3 per cell]
Se: 0.500 0.500 0.500 [1 per cell]
F: 0.000 0.000 0.000 [1 per cell]

## Properties
Final energy (eV per atom): -3.364
Energy above the most stable polymorph in this dataset (kJ/mol of formula units): 0
Uncorrected formation energy (eV per atom): 0.9532
Crystal system: cubic